[1]
This record from the Alexandria database describes an optimized crystal structure of Cs3Tl7Au4. The functional is PBE-GGA.

```
Cs3Tl7Au4
1.0
2.287 9.668 -0.717
-2.287 9.668 -0.717
0.000 6.227 10.309
Cs Tl Au
3 7 4
direct
0.697 0.697 0.822 Cs
0.303 0.303 0.178 Cs
0.000 0.000 0.500 Cs
0.688 0.688 0.471 Tl
0.482 0.482 0.223 Tl
0.126 0.126 0.118 Tl
0.312 0.312 0.529 Tl
0.874 0.874 0.882 Tl
0.000 0.000 0.000 Tl
0.518 0.518 0.777 Tl
0.363 0.363 0.734 Au
0.637 0.637 0.266 Au
0.126 0.126 0.650 Au
0.874 0.874 0.350 Au
```

symmetry	No. 12

[2]
This record from the Alexandria database describes an optimized crystal structure of Cs2TlAu2. The functional is PBE-GGA.

```
Cs2TlAu2
1.0
-3.126 7.179 6.566
-9.286 -4.257 0.234
1.108 -2.252 2.990
Cs Tl Au
4 2 4
direct
0.362 0.862 0.000 Cs
0.862 0.638 0.000 Cs
0.638 0.138 0.000 Cs
0.138 0.362 0.000 Cs
0.000 0.000 0.000 Tl
0.500 0.500 0.000 Tl
0.162 0.662 0.500 Au
0.662 0.838 0.500 Au
0.838 0.338 0.500 Au
0.338 0.162 0.500 Au
```

symmetry	No. 127
energy above the lowest structure with this stoichiometry	106.8	kJ/mol of formula units

[3]
This record from the Alexandria database describes an optimized crystal structure of CsTl5Au3. The functional is PBE-GGA.

```
CsTl5Au3
1.0
5.058 0.000 0.000
-2.529 7.888 0.000
0.000 0.000 14.341
Cs Tl Au
2 10 6
direct
0.826 0.651 0.750 Cs
0.174 0.349 0.250 Cs
0.808 0.615 0.422 Tl
0.192 0.385 0.922 Tl
0.000 0.000 0.500 Tl
0.000 0.000 0.000 Tl
0.476 0.952 0.144 Tl
0.524 0.048 0.856 Tl
0.524 0.048 0.644 Tl
0.808 0.615 0.078 Tl
0.192 0.385 0.578 Tl
0.476 0.952 0.356 Tl
0.368 0.735 0.975 Au
0.910 0.821 0.250 Au
0.368 0.735 0.525 Au
0.632 0.265 0.475 Au
0.090 0.179 0.750 Au
0.632 0.265 0.025 Au
```

symmetry	No. 63

[4]
This record from the Alexandria database describes an optimized crystal structure of Cs2Tl6Au3. The functional is PBE-GGA.

```
Cs2Tl6Au3
1.0
-0.995 -4.345 2.433
-0.203 -4.457 -8.041
7.909 0.779 4.627
Cs Tl Au
2 6 3
direct
0.000 0.667 0.333 Cs
0.000 0.333 0.667 Cs
0.500 0.701 0.701 Tl
0.500 0.000 0.299 Tl
0.000 0.203 0.203 Tl
0.000 0.797 0.000 Tl
0.500 0.299 0.000 Tl
0.000 0.000 0.797 Tl
0.500 0.373 0.373 Au
0.500 0.627 0.000 Au
0.500 0.000 0.627 Au
```

symmetry	No. 189

no.,energy relative to the elements (meV per atom)
1,-130
2,-22
3,-84
4,-122